Computed, not measured: a relaxed structure of CsKCd2Sn at the PBE-GGA level of DFT.

Properties
Total magnetization (μB/atom): 0.00
Total energy (eV for the cell shown): -7.6
Energy of formation (eV/f.u.): 0.23

Cell lengths 5.938, 5.938, 6.577 Å; angles 90.00, 90.00, 90.00 degrees
Atoms (fractional coordinates):
Cs  0.000  0.000  0.000
K  0.500  0.500  0.000
Cd  0.000  0.500  0.500
Cd  0.500  0.000  0.500
Sn  0.500  0.500  0.500

Computed, not measured: a relaxed structure of La6Pr2Th3 at the PBE-GGA level of DFT.

Properties
Total magnetization (μB/atom): 0.00
Total energy (eV for the cell shown): -59.7
Energy of formation (eV/f.u.): 1.67

Cell lengths 6.487, 6.487, 11.550 Å; angles 94.52, 94.52, 123.99 degrees
Atoms (fractional coordinates):
La  0.092  0.780  0.772
La  0.220  0.908  0.228
La  0.418  0.418  0.728
La  0.582  0.582  0.272
La  0.780  0.092  0.772
La  0.908  0.220  0.228
Pr  0.356  0.644  0.000
Pr  0.644  0.356  0.000
Th  0.000  0.000  0.500
Th  0.323  0.677  0.500
Th  0.677  0.323  0.500

Computed, not measured: a relaxed structure of Pr6MgCd3 at the PBE-GGA level of DFT.

Properties
Total magnetization (μB/atom): 0.00
Total energy (eV for the cell shown): -69.7
Energy of formation (eV/f.u.): -1.81

Cell lengths 9.533, 5.539, 12.241 Å; angles 90.00, 109.41, 90.00 degrees
Atoms (fractional coordinates):
Pr  0.038  0.250  0.413
Pr  0.158  0.750  0.177
Pr  0.237  0.250  0.001
Pr  0.344  0.750  0.796
Pr  0.364  0.250  0.345
Pr  0.415  0.250  0.629
Pr  0.585  0.750  0.371
Pr  0.636  0.750  0.655
Pr  0.656  0.250  0.204
Pr  0.763  0.750  0.999
Pr  0.842  0.250  0.823
Pr  0.962  0.750  0.587
Mg  0.458  0.750  0.081
Mg  0.542  0.250  0.919
Cd  0.043  0.750  0.876
Cd  0.120  0.250  0.718
Cd  0.268  0.750  0.477
Cd  0.732  0.250  0.523
Cd  0.880  0.750  0.282
Cd  0.957  0.250  0.124

Computed, not measured: a relaxed structure of BaEr2AgS4 at the PBE-GGA level of DFT.

Properties
Total magnetization (μB/atom): 0.00
Total energy (eV for the cell shown): -87.3
E_form (uncorrected) (eV per atom): -1.654

Cell lengths 7.019, 7.019, 13.813 Å; angles 90.00, 90.00, 146.17 degrees
Atoms (fractional coordinates):
Ba  0.126  0.874  0.750
Ba  0.874  0.126  0.250
Er  0.376  0.624  0.557
Er  0.376  0.624  0.943
Er  0.624  0.376  0.057
Er  0.624  0.376  0.443
Ag  0.149  0.851  0.250
Ag  0.851  0.149  0.750
S  0.000  0.000  0.000
S  0.000  0.000  0.500
S  0.265  0.735  0.106
S  0.265  0.735  0.394
S  0.454  0.546  0.750
S  0.546  0.454  0.250
S  0.735  0.265  0.606
S  0.735  0.265  0.894

Computed, not measured: a relaxed structure of MnBeCoW at the PBE-GGA level of DFT.

Properties
Total magnetization (μB/atom): 0.00
Total energy (eV for the cell shown): -33.2
Energy of formation (eV/f.u.): -0.20

Cell lengths 4.023, 4.023, 4.023 Å; angles 60.00, 60.00, 60.00 degrees
Atoms (fractional coordinates):
Mn  0.000  0.000  0.000
Be  0.750  0.750  0.750
Co  0.500  0.500  0.500
W  0.250  0.250  0.250

Computed, not measured: a relaxed structure of SrMgBeAu2 at the PBE-GGA level of DFT.

Properties
Total magnetization (μB/atom): 0.00
Excess energy over the best structure of this formula in the dataset (meV/atom): 999
Total energy (eV for the cell shown): -8.4
Energy of formation (eV/f.u.): 5.19

Cell lengths 5.863, 5.863, 6.986 Å; angles 90.00, 90.00, 90.00 degrees
Atoms (fractional coordinates):
Sr  0.000  0.000  0.000
Mg  0.000  0.000  0.500
Be  0.500  0.500  0.500
Au  0.000  0.500  0.000
Au  0.500  0.000  0.000